Record 1
Here is a geometry-optimized TaMn2Pt structure from the Alexandria database. Energies are from PBE.

Cell and atoms, written as CIF:
```
data_TaMn2Pt
_chemical_formula_sum 'Ta4 Mn8 Pt4'
_symmetry_space_group_name_H-M 'F -4 3 m'
_symmetry_Int_Tables_number 216
_symmetry_space_group_name_Hall 'F -4 2 3'
_cell_length_a 6.1749
_cell_length_b 6.1749
_cell_length_c 6.1749
_cell_angle_alpha 90.00
_cell_angle_beta 90.00
_cell_angle_gamma 90.00
loop_
_atom_site_label
_atom_site_type_symbol
_atom_site_fract_x
_atom_site_fract_y
_atom_site_fract_z
Ta1 Ta 0.0000 0.0000 0.0000
Mn1 Mn 0.0000 0.0000 0.5000
Mn2 Mn 0.2500 0.2500 0.2500
Pt1 Pt 0.2500 0.2500 0.7500
```

Results
Uncorrected energy (eV for the cell shown): -147.71

---

Record 2
Here is a geometry-optimized TaMn2Pt structure from the Alexandria database. Energies are from PBE.

Cell and atoms, written as CIF:
```
data_TaMn2Pt
_chemical_formula_sum 'Ta1 Mn2 Pt1'
_symmetry_space_group_name_H-M 'P m m 2'
_symmetry_Int_Tables_number 25
_cell_length_a 2.8333
_cell_length_b 3.6175
_cell_length_c 5.7028
_cell_angle_alpha 90.00
_cell_angle_beta 90.00
_cell_angle_gamma 90.00
loop_
_symmetry_equiv_pos_as_xyz
'x,y,z'
'-x,-y,z'
'-x,y,z'
'x,-y,z'
loop_
_atom_site_label
_atom_site_type_symbol
_atom_site_fract_x
_atom_site_fract_y
_atom_site_fract_z
Ta1 Ta 0.0000 0.0000 0.0000
Mn1 Mn 0.0000 0.0000 0.5277
Mn2 Mn 0.5000 0.5000 0.7342
Pt1 Pt 0.5000 0.5000 0.2704
```

Results
Uncorrected energy (eV for the cell shown): -37.09

---

What is the formula in the first record?
TaMn2Pt

---

The highest uncorrected energy belongs to which entry?
number 2

---

What is the uncorrected energy in the first record?
-147.71 eV for the cell shown